MgInPb2S5: optimized geometry, PBE-GGA.

Output
M_tot = 0.000 μB per atom
Calculated volume = 24.64 Å³ per atom
Space-group type = Cmc2_1 (36)
Density = 5.345 g/cm3
Density of states at the Fermi level = 6.080 states/eV/cell
Formation energy from raw total energies = -5.389 eV per formula unit

Lattice parameters (Å, degrees): 3.9444 8.5050 13.5933 90.00 90.00 103.41
Closest atoms and distances in Å follow each position.
Positions (direct):
Mg  0.2325  0.4649  0.0248  6 S 2.53-2.79
S  0.6122  0.2243  0.5109  1 Mg 2.58, 2 Pb 2.78
Pb  0.8377  0.6755  0.7835  3 S 2.73-2.83
S  0.7415  0.4830  0.1700  2 Mg 2.79, 3 Pb 2.83-2.84
Pb  0.1623  0.3245  0.2835  3 S 2.73-2.83
S  0.3878  0.7757  0.0109  1 Mg 2.58, 2 Pb 2.78
S  0.7100  0.4201  0.9111  2 Mg 2.53, 1 In 2.60, 1 Pb 2.73
Pb  0.0876  0.1752  0.6523  6 S 2.78-2.97
Mg  0.7675  0.5351  0.5248  6 S 2.53-2.79
S  0.5019  0.0039  0.2744  1 In 2.46
S  0.0732  0.1464  0.0551  2 In 2.52, 1 Mg 2.67
S  0.9268  0.8536  0.5551  2 In 2.52, 1 Mg 2.67
S  0.2585  0.5170  0.6700  2 Mg 2.79, 3 Pb 2.83-2.84
In  0.4451  0.8901  0.4419  4 S 2.46-2.60
Pb  0.9124  0.8248  0.1523  6 S 2.78-2.97
S  0.4981  0.9961  0.7744  1 In 2.46
In  0.5549  0.1099  0.9419  4 S 2.46-2.60
S  0.2900  0.5799  0.4111  2 Mg 2.53, 1 In 2.60, 1 Pb 2.73